(1)
DFT (GGA-PBE) results for a relaxed structure of SrIrRh2.

a = 5.4761 Å, b = 5.4761 Å, c = 26.2247 Å
α = 90.00°, β = 90.00°, γ = 120.00°
Closest atoms and distances in Å follow each position.
Space group R-3m (No. 166, hexagonal axes)
One atom of each set of equivalent atoms:
Sr (0.0000, 0.0000, 0.0000) (multiplicity 3)  6 Ir 3.16, 12 Rh 3.45
Sr (0.0000, 0.0000, 0.1407) (multiplicity 6)  9 Rh 3.17-3.38, 3 Ir 3.23, 3 Sr 3.44
Ir (0.0000, 0.0000, 0.3305) (multiplicity 6)  6 Rh 2.59-2.65
Ir (0.0000, 0.0000, 0.5000) (multiplicity 3)  6 Rh 2.75
Rh (0.0096, 0.5048, 0.0797) (multiplicity 18)  3 Ir 2.59-2.75, 4 Rh 2.66-2.82

Energy relative to the elements = -0.540 eV/f.u.
Crystal system = trigonal
Energy relative to the lowest polymorph listed for this composition = 0.0 meV per atom

***

(2)
DFT (GGA-PBE) results for a relaxed structure of Y4Te2AsS.

a = 7.1600 Å, b = 4.1471 Å, c = 7.4553 Å
α = 90.00°, β = 108.79°, γ = 90.00°
Closest atoms and distances in Å follow each position.
Space group P2/m (No. 10)
One atom of each set of equivalent atoms:
Y (0.2312, 0.0000, 0.2082) (multiplicity 2)  2 S 2.79, 1 As 2.83
Y (0.2581, 0.5000, 0.7877) (multiplicity 2)  1 S 2.79, 2 As 2.84, 2 Te 3.12
Te (0.0000, 0.0000, 0.5000) (multiplicity 1)  6 Y 3.12-3.13
Te (0.5000, 0.5000, 0.5000) (multiplicity 1)  6 Y 3.16-3.17
As (0.5000, 0.0000, 0.0000) (multiplicity 1)  6 Y 2.83-2.84
S (0.0000, 0.5000, 0.0000) (multiplicity 1)  6 Y 2.79

Crystal system = monoclinic
Formation energy (no corrections) = -1.594 eV per atom

***

(3)
DFT (GGA-PBE) results for a relaxed structure of Mg4Sc3In.

a = 18.2889 Å, b = 4.4032 Å, c = 4.6898 Å
α = 90.00°, β = 104.76°, γ = 90.00°
Closest atoms and distances in Å follow each position.
Space group C2/m (No. 12)
One atom of each set of equivalent atoms:
Mg (0.1290, 0.0000, 0.1285) (multiplicity 4)  4 Mg 3.02-3.22, 6 Sc 3.17-3.22, 2 In 3.27
Mg (0.2461, 0.5000, 0.2464) (multiplicity 4)  8 Mg 3.02-3.22, 4 Sc 3.20-3.21
Sc (0.0000, 0.5000, 0.0000) (multiplicity 2)  4 Mg 3.17, 4 Sc 3.19-3.20, 4 In 3.22
Sc (0.1227, 0.5000, 0.6226) (multiplicity 4)  2 In 3.09, 2 Sc 3.19-3.20, 8 Mg 3.20-3.22
In (0.0000, 0.0000, 0.5000) (multiplicity 2)  8 Sc 3.09-3.22, 4 Mg 3.27

Energy relative to the elements = -1.035 eV/f.u.
Crystal system = monoclinic

***

(4)
DFT (GGA-PBE) results for a relaxed structure of Ca2Zn9Ag6.

a = 5.3642 Å, b = 5.3642 Å, c = 13.5691 Å
α = 90.00°, β = 90.00°, γ = 120.00°
Closest atoms and distances in Å follow each position.
Space group P6/mmm (No. 191)
One atom of each set of equivalent atoms:
Ca (0.0000, 0.0000, 0.1660) (multiplicity 2)  6 Ag 3.10
Zn (0.0000, 0.5000, 0.0000) (multiplicity 3)  4 Zn 2.68, 4 Ag 2.77
Zn (0.0000, 0.5000, 0.3367) (multiplicity 6)  4 Zn 2.68, 4 Ag 2.70-2.75
Ag (0.3333, 0.6667, 0.1689) (multiplicity 4)  6 Zn 2.75-2.77
Ag (0.3333, 0.6667, 0.5000) (multiplicity 2)  6 Zn 2.70

Energy relative to the elements = -1.776 eV/f.u.
Crystal system = hexagonal

***

(5)
DFT (GGA-PBE) results for a relaxed structure of Tb2Ho3In.

a = 4.8508 Å, b = 15.0365 Å, c = 4.8642 Å
α = 90.00°, β = 90.00°, γ = 90.00°
Closest atoms and distances in Å follow each position.
Space group Cmmm (No. 65)
One atom of each set of equivalent atoms:
Tb (0.0000, 0.1618, 0.0000) (multiplicity 4)  8 Ho 3.44-3.54, 2 In 3.44, 2 Tb 3.59
Ho (0.0000, 0.0000, 0.5000) (multiplicity 2)  4 In 3.43, 4 Tb 3.44, 4 Ho 3.49
Ho (0.0000, 0.3327, 0.5000) (multiplicity 4)  6 Tb 3.44-3.54, 4 Ho 3.47-3.49, 2 In 3.50
In (0.0000, 0.5000, 0.0000) (multiplicity 2)  8 Ho 3.43-3.50, 4 Tb 3.44

Energy relative to the elements = -0.954 eV/f.u.
Crystal system = orthorhombic
Energy relative to the lowest polymorph listed for this composition = 0.0 meV per atom

***

(6)
DFT (GGA-PBE) results for a relaxed structure of Rb3BaSr.

a = 7.9295 Å, b = 7.9295 Å, c = 7.9295 Å
α = 90.00°, β = 90.00°, γ = 90.00°
Closest atoms and distances in Å follow each position.
Space group Pm-3m (No. 221)
One atom of each set of equivalent atoms:
Rb (0.0000, 0.0000, 0.5000) (multiplicity 3)  2 Sr 3.96
Ba (0.5000, 0.5000, 0.5000) (multiplicity 1)  12 Rb 5.61
Sr (0.0000, 0.0000, 0.0000) (multiplicity 1)  6 Rb 3.96

Energy relative to the elements = 2.405 eV/f.u.
Crystal system = cubic
Energy relative to the lowest polymorph listed for this composition = 0.0 meV per atom

***

Here are the calculated DFT total energy numbers, same order: -6.446 -6.709 -3.643 -2.021 -4.448 -0.820 (eV per atom).